[1]
Material: Zr3Cd
Method: DFT, PBE
State: relaxed

Lattice parameters (Å, degrees): 5.5458 6.1863 5.2164 90.00 90.00 90.00
Sites, in units of the cell vectors:
Zr1 0.5138 0.7490 0.0000
Zr2 0.0154 0.5000 0.0000
Zr3 0.3179 0.0000 0.5000
Zr4 0.5138 0.2510 0.0000
Zr5 0.8196 0.7510 0.5000
Zr6 0.8196 0.2490 0.5000
Cd1 0.3272 0.5000 0.5000
Cd2 0.0061 0.0000 0.0000

Properties
symmetry: No. 59
ΔH_f (0 K): -0.0457 eV/atom
V: 179.0 Å³ per cell

=====

[2]
Material: ZrCd
Method: DFT, PBE
State: relaxed

Lattice parameters (Å, degrees): 6.3630 6.3630 5.0399 90.00 90.00 120.00
Sites, in units of the cell vectors:
Zr1 0.4938 0.9875 0.0000
Zr2 0.0125 0.5062 0.0000
Zr3 0.4938 0.5062 0.0000
Zr4 0.3334 0.6667 0.5000
Cd1 0.3408 0.1704 0.5000
Cd2 0.8296 0.6592 0.5000
Cd3 0.0000 0.0000 0.0000
Cd4 0.8296 0.1704 0.5000

Properties
symmetry: No. 187
ΔH_f (0 K): 0.0292 eV/atom
V: 176.7 Å³ per cell

=====

Q: Number 1 is which compound?
A: Zr3Cd

=====

Q: Number 2 is which compound?
A: ZrCd

=====

Q: ΔH_f (0 K) of number 2 (ZrCd)?
A: 0.0292 eV/atom

=====

Q: The highest ΔH_f (0 K) belongs to which entry?
A: ZrCd